DySiAg2Se4, relaxed, DFT PBE; N(E_F) = 3.2 states/eV per cell; formation energy (no corrections) = -0.592 eV/atom; SG = Imma (74)
1.0
8.0054 -0.0492 -0.2110
-0.0549 8.0052 -0.2111
-4.0635 -4.0663 5.8378
Se Si Dy Ag
8 2 2 4
Direct
0.7492 0.7508 0.9767 Se
0.2711 0.7353 0.5032 Se
0.7647 0.2288 0.9968 Se
0.2507 0.2492 0.0233 Se
0.2353 0.7712 0.0032 Se
0.7288 0.2647 0.4968 Se
0.7492 0.7508 0.5233 Se
0.2508 0.2493 0.4767 Se
0.5000 0.5000 0.5000 Si
0.0000 0.0000 0.0000 Si
0.0000 0.5000 0.5000 Dy
0.0000 0.5000 0.0000 Dy
0.0000 0.0000 0.5000 Ag
0.5000 0.0000 0.5000 Ag
0.5000 0.0000 0.0000 Ag
0.5000 0.5000 0.0000 Ag